1.
# La4PmPb5

An optimized crystal structure of La4PmPb5 (PBE, the Alexandria database). Values from VASP.

The structure in Quantum ESPRESSO input format:
```
&SYSTEM
  ibrav = 0, nat = 10, ntyp = 3
/
ATOMIC_SPECIES
Pm 145.00 Pm.upf
Pb 207.20 Pb.upf
La 138.91 La.upf
CELL_PARAMETERS angstrom
3.6695 0.0000 0.0000
0.0000 3.6695 0.0000
0.0000 0.0000 23.2080
ATOMIC_POSITIONS crystal
Pm 0.0000 0.0000 0.0000
Pb 0.5000 0.5000 0.2987
La 0.0000 0.0000 0.8018
La 0.0000 0.0000 0.3992
La 0.0000 0.0000 0.6008
Pb 0.5000 0.5000 0.5000
Pb 0.5000 0.5000 0.9031
Pb 0.5000 0.5000 0.0969
La 0.0000 0.0000 0.1982
Pb 0.5000 0.5000 0.7013
```

Summary:
symmetry = P4/mmm (123)
mass density = 9.2 g cm⁻³
raw total energy = -4.87 eV/atom
energy of formation = -0.57 eV per atom



2.
# KPb2Au

An optimized crystal structure of KPb2Au (PBE, the Alexandria database). Values from VASP.

The structure in Quantum ESPRESSO input format:
```
&SYSTEM
  ibrav = 0, nat = 4, ntyp = 3
/
ATOMIC_SPECIES
Au 196.97 Au.upf
K 39.10 K.upf
Pb 207.20 Pb.upf
CELL_PARAMETERS angstrom
-1.9332 -3.2454 5.2560
-0.4322 -6.4355 -0.5421
4.3080 4.7172 -1.0419
ATOMIC_POSITIONS crystal
Au 0.5302 0.5302 0.0000
K 0.2799 0.7799 0.5000
Pb 0.6891 0.1891 0.5000
Pb 0.0008 0.0008 0.0000
```

Summary:
symmetry = Imm2 (44)
mass density = 8.6 g cm⁻³
raw total energy = -3.01 eV/atom
energy of formation = -0.06 eV per atom



3.
# Li2PPb

An optimized crystal structure of Li2PPb (PBE, the Alexandria database). Values from VASP.

The structure in Quantum ESPRESSO input format:
```
&SYSTEM
  ibrav = 0, nat = 4, ntyp = 3
/
ATOMIC_SPECIES
Li 6.94 Li.upf
P 30.97 P.upf
Pb 207.20 Pb.upf
CELL_PARAMETERS angstrom
4.1253 0.0000 0.0000
0.0000 4.0657 -0.0234
0.0000 0.0276 4.6803
ATOMIC_POSITIONS crystal
Li 0.0000 0.1250 0.9638
P 0.0000 0.6250 0.2835
Pb 0.5000 0.6250 0.8691
Li 0.5000 0.1250 0.3836
```

Summary:
symmetry = Pmm2 (25)
mass density = 5.3 g cm⁻³
energy relative to the lowest polymorph listed for this composition = 0.0224 eV per atom
raw total energy = -3.54 eV/atom
energy of formation = -0.30 eV per atom



4.
# Hg2HO

An optimized crystal structure of Hg2HO (PBE, the Alexandria database). Values from VASP.

The structure in Quantum ESPRESSO input format:
```
&SYSTEM
  ibrav = 0, nat = 8, ntyp = 3
/
ATOMIC_SPECIES
Hg 200.59 Hg.upf
H 1.01 H.upf
O 16.00 O.upf
CELL_PARAMETERS angstrom
4.6052 0.0000 0.0000
0.0000 4.6052 0.0000
2.3026 2.3026 6.0968
ATOMIC_POSITIONS crystal
Hg 0.1705 0.6250 0.2500
Hg 0.3750 0.4205 0.7500
H 0.2500 0.7500 0.5000
O 0.0000 0.0000 0.0000
Hg 0.8750 0.8295 0.7500
H 0.5000 0.5000 0.0000
Hg 0.5795 0.1250 0.2500
O 0.7500 0.2500 0.5000
```

Summary:
symmetry = I-42d (122)
mass density = 10.7 g cm⁻³
energy relative to the lowest polymorph listed for this composition = 0.0000 eV per atom
raw total energy = -2.04 eV/atom



5.
# Na2Be3ZnAu12

An optimized crystal structure of Na2Be3ZnAu12 (PBE, the Alexandria database). Values from VASP.

The structure in Quantum ESPRESSO input format:
```
&SYSTEM
  ibrav = 0, nat = 18, ntyp = 4
/
ATOMIC_SPECIES
Au 196.97 Au.upf
Zn 65.41 Zn.upf
Be 9.01 Be.upf
Na 22.99 Na.upf
CELL_PARAMETERS angstrom
7.7189 -0.3210 -0.2277
3.5329 6.8704 -0.2277
3.5329 2.0564 6.5594
ATOMIC_POSITIONS crystal
Au 0.3451 0.8998 0.3451
Zn 0.0000 0.0000 0.0000
Be 0.0000 0.0000 0.5000
Au 0.1284 0.1284 0.6192
Na 0.6014 0.6014 0.6014
Au 0.3451 0.3451 0.8998
Au 0.8998 0.3451 0.3451
Be 0.5000 0.0000 0.0000
Au 0.8716 0.3808 0.8716
Au 0.3808 0.8716 0.8716
Au 0.1002 0.6549 0.6549
Au 0.6549 0.1002 0.6549
Au 0.8716 0.8716 0.3808
Au 0.6549 0.6549 0.1002
Au 0.6192 0.1284 0.1284
Au 0.1284 0.6192 0.1284
Be 0.0000 0.5000 0.0000
Na 0.3986 0.3986 0.3986
```

Summary:
symmetry = R-3m (166)
mass density = 11.4 g cm⁻³
raw total energy = -3.06 eV/atom
energy of formation = -0.04 eV per atom



6.
# Sm2Hg3Rh2

An optimized crystal structure of Sm2Hg3Rh2 (PBE, the Alexandria database). Values from VASP.

The structure in Quantum ESPRESSO input format:
```
&SYSTEM
  ibrav = 0, nat = 7, ntyp = 3
/
ATOMIC_SPECIES
Rh 102.91 Rh.upf
Sm 150.36 Sm.upf
Hg 200.59 Hg.upf
CELL_PARAMETERS angstrom
3.8937 0.0000 -0.0348
0.0000 3.8696 0.0000
-1.8011 0.0000 11.8002
ATOMIC_POSITIONS crystal
Rh 0.1211 0.0000 0.2361
Sm 0.4090 0.5000 0.8254
Rh 0.8789 0.0000 0.7639
Hg 0.7052 0.0000 0.4080
Sm 0.5910 0.5000 0.1746
Hg 0.0000 0.0000 0.0000
Hg 0.2948 0.0000 0.5920
```

Summary:
symmetry = P2/m (10)
mass density = 10.4 g cm⁻³
energy relative to the lowest polymorph listed for this composition = 0.1026 eV per atom
raw total energy = -3.96 eV/atom
energy of formation = -0.38 eV per atom



7.
# BaInNi

An optimized crystal structure of BaInNi (PBE, the Alexandria database). Values from VASP.

The structure in Quantum ESPRESSO input format:
```
&SYSTEM
  ibrav = 0, nat = 12, ntyp = 3
/
ATOMIC_SPECIES
In 114.82 In.upf
Ni 58.69 Ni.upf
Ba 137.33 Ba.upf
CELL_PARAMETERS angstrom
6.0094 0.0000 -0.0328
0.0000 4.4319 0.0000
-2.2752 0.0000 12.9127
ATOMIC_POSITIONS crystal
In 0.8157 0.0000 0.1088
Ni 0.1017 0.0000 0.2845
In 0.1843 0.0000 0.8912
Ba 0.3172 0.5000 0.1169
Ba 0.6828 0.0000 0.3831
Ni 0.1017 0.5000 0.7845
Ni 0.8983 0.0000 0.7155
In 0.8157 0.5000 0.6088
Ni 0.8983 0.5000 0.2155
In 0.1843 0.5000 0.3912
Ba 0.3172 0.0000 0.6169
Ba 0.6828 0.5000 0.8831
```

Summary:
symmetry = C2/m (12)
mass density = 6.0 g cm⁻³
raw total energy = -3.74 eV/atom
energy of formation = -0.26 eV per atom



8.
# Tm2GaCu3

An optimized crystal structure of Tm2GaCu3 (PBE, the Alexandria database). Values from VASP.

The structure in Quantum ESPRESSO input format:
```
&SYSTEM
  ibrav = 0, nat = 6, ntyp = 3
/
ATOMIC_SPECIES
Cu 63.55 Cu.upf
Tm 168.93 Tm.upf
Ga 69.72 Ga.upf
CELL_PARAMETERS angstrom
-1.2461 -3.4611 0.2593
3.7020 -1.3851 -0.6969
0.2022 2.4704 7.7219
ATOMIC_POSITIONS crystal
Cu 0.5440 0.5440 0.0880
Tm 0.8667 0.3667 0.7333
Tm 0.1293 0.1293 0.2587
Ga 0.4597 0.9597 0.9194
Cu 0.2986 0.7986 0.5971
Cu 0.7018 0.7018 0.4035
```

Summary:
symmetry = Imm2 (44)
mass density = 8.8 g cm⁻³
energy relative to the lowest polymorph listed for this composition = 0.0469 eV per atom
raw total energy = -4.36 eV/atom
energy of formation = -0.32 eV per atom



9.
# TaH3Se

An optimized crystal structure of TaH3Se (PBE, the Alexandria database). Values from VASP.

The structure in Quantum ESPRESSO input format:
```
&SYSTEM
  ibrav = 0, nat = 5, ntyp = 3
/
ATOMIC_SPECIES
H 1.01 H.upf
Se 78.96 Se.upf
Ta 180.95 Ta.upf
CELL_PARAMETERS angstrom
-1.7071 -1.2331 3.0270
-2.2674 -2.0128 -2.0987
2.3541 -2.8329 0.1736
ATOMIC_POSITIONS crystal
H 0.5000 0.0000 0.0000
H 0.0000 0.5000 0.0000
H 0.0000 0.0000 0.5000
Se 0.5000 0.5000 0.5000
Ta 0.0000 0.0000 0.0000
```

Summary:
symmetry = Pm-3m (221)
mass density = 8.7 g cm⁻³
energy relative to the lowest polymorph listed for this composition = 0.0000 eV per atom
raw total energy = -4.75 eV/atom



10.
# TbTm2In3Te6

An optimized crystal structure of TbTm2In3Te6 (PBE, the Alexandria database). Values from VASP.

The structure in Quantum ESPRESSO input format:
```
&SYSTEM
  ibrav = 0, nat = 12, ntyp = 4
/
ATOMIC_SPECIES
In 114.82 In.upf
Te 127.60 Te.upf
Tm 168.93 Tm.upf
Tb 158.93 Tb.upf
CELL_PARAMETERS angstrom
-2.0761 -7.2031 1.2861
7.1026 1.5720 -2.2206
0.5869 2.6110 8.0698
ATOMIC_POSITIONS crystal
In 0.8346 0.1654 0.5000
Te 0.7348 0.7348 0.2161
In 0.1654 0.8346 0.5000
Te 0.2652 0.2652 0.7839
In 0.5000 0.5000 0.5000
Tm 0.3332 0.6668 0.0000
Tb 0.0000 0.0000 0.0000
Tm 0.6668 0.3332 0.0000
Te 0.0725 0.4098 0.2174
Te 0.5902 0.9275 0.7826
Te 0.9275 0.5902 0.7826
Te 0.4098 0.0725 0.2174
```

Summary:
symmetry = C2/m (12)
mass density = 6.6 g cm⁻³
raw total energy = -4.34 eV/atom
ΔE_f (raw) = -11.447 eV/f.u.



11.
# PrNdYMg

An optimized crystal structure of PrNdYMg (PBE, the Alexandria database). Values from VASP.

The structure in Quantum ESPRESSO input format:
```
&SYSTEM
  ibrav = 0, nat = 4, ntyp = 4
/
ATOMIC_SPECIES
Y 88.91 Y.upf
Nd 144.24 Nd.upf
Pr 140.91 Pr.upf
Mg 24.30 Mg.upf
CELL_PARAMETERS angstrom
-5.6319 0.1194 -0.3564
-2.9825 -4.7152 0.8548
-3.1351 -0.5503 4.6613
ATOMIC_POSITIONS crystal
Y 0.7500 0.7500 0.7500
Nd 0.0000 0.0000 0.0000
Pr 0.5000 0.5000 0.5000
Mg 0.2500 0.2500 0.2500
```

Summary:
symmetry = F-43m (216)
mass density = 5.2 g cm⁻³
energy relative to the lowest polymorph listed for this composition = 0.0688 eV per atom
raw total energy = -4.37 eV/atom
energy of formation = 0.03 eV per atom



12.
# Pm5ZrAs6

An optimized crystal structure of Pm5ZrAs6 (PBE, the Alexandria database). Values from VASP.

The structure in Quantum ESPRESSO input format:
```
&SYSTEM
  ibrav = 0, nat = 12, ntyp = 3
/
ATOMIC_SPECIES
Zr 91.22 Zr.upf
As 74.92 As.upf
Pm 145.00 Pm.upf
CELL_PARAMETERS angstrom
-4.5289 -4.6015 -3.2406
3.6197 -3.9264 -4.8651
3.0380 -6.2545 1.9445
ATOMIC_POSITIONS crystal
Zr 0.0000 0.0000 0.0000
As 0.2437 0.2384 0.0000
Pm 0.5000 0.1698 0.6604
As 0.7593 0.0799 0.3206
Pm 0.5000 0.5000 0.0000
Pm 0.5000 0.8302 0.3396
As 0.7563 0.7616 0.0000
As 0.2407 0.9201 0.6794
Pm 0.0000 0.3344 0.3313
Pm 0.0000 0.6656 0.6687
As 0.7593 0.4004 0.6794
As 0.2407 0.5996 0.3206
```

Summary:
symmetry = C2/m (12)
mass density = 6.8 g cm⁻³
raw total energy = -6.47 eV/atom
energy of formation = -1.45 eV per atom